# 1
VASP calculation (GGA-PBE) on crystalline Y2MgCl at its relaxed geometry.

Output
The calculation puts the total magnetic moment at 0.0 μB/f.u. The mass density comes out at 3656 kg/m³. For the formation energy without anion corrections, the calculation gives -489 meV per atom. Its density of states at the Fermi level is 0.768 states/eV/atom. The value obtained for the excess energy over the best structure of this formula in the dataset is 158 meV/atom.

Cell: 6.711 6.711 6.711 Å, 150.56 133.02 56.42°
Atoms (fractional coordinates):
Y  0.000  0.000  0.000
Y  0.745  0.245  0.500
Mg  0.444  0.444  0.000
Cl  0.193  0.693  0.500

---

# 2
VASP calculation (GGA-PBE) on crystalline CuAgP4 at its relaxed geometry.

Output
The calculation puts the total magnetic moment at 0.0 μB/f.u. The mass density comes out at 4937 kg/m³. Its density of states at the Fermi level is 0.539 states/eV/atom. For the energy of formation, the calculation gives 61.7 kJ per mole of atoms.

Cell: 5.198 5.198 5.198 Å, 60.00 60.00 60.00°
Atoms (fractional coordinates):
Cu  0.000  0.000  0.000
Ag  0.250  0.250  0.250
P  0.089  0.637  0.637
P  0.637  0.089  0.637
P  0.637  0.637  0.089
P  0.637  0.637  0.637

---

# 3
VASP calculation (GGA-PBE) on crystalline NiMo2Rh at its relaxed geometry.

Output
The calculation puts the total magnetic moment at 0.0 μB/f.u. The mass density comes out at 10289 kg/m³. Its density of states at the Fermi level is 1.235 states/eV/atom. The value obtained for the excess energy over the best structure of this formula in the dataset is 149 meV/atom. For the energy of formation, the calculation gives 3.4 kJ per mole of atoms.

Cell: 4.665 4.660 3.894 Å, 65.38 65.26 49.36°
Atoms (fractional coordinates):
Ni  0.000  0.000  0.000
Mo  0.250  0.250  0.250
Mo  0.500  0.500  0.500
Rh  0.750  0.750  0.750

---

# 4
VASP calculation (GGA-PBE) on crystalline Pd3Pb4Au at its relaxed geometry.

Output
The calculation puts the total magnetic moment at 0.0 μB/f.u. The mass density comes out at 12546 kg/m³. Its density of states at the Fermi level is 0.391 states/eV/atom. For the energy of formation, the calculation gives -20.3 kJ per mole of atoms.

Cell: 3.670 4.488 10.809 Å, 90.00 90.00 90.00°
Atoms (fractional coordinates):
Pd  0.000  0.000  0.000
Pd  0.000  0.500  0.166
Pd  0.500  0.000  0.501
Pb  0.000  0.000  0.732
Pb  0.000  0.500  0.432
Pb  0.500  0.000  0.225
Pb  0.500  0.500  0.950
Au  0.500  0.500  0.665